# Sr2CdTc

Crystalline Sr2CdTc at its relaxed geometry (PBE, the Alexandria database).

Crystal system: trigonal
ΔE_f, eV/f.u.: 2.68

Unit cell a=10.7573 b=10.7573 c=10.7573 alpha=19.25 beta=19.25 gamma=19.25
Closest atoms and distances in Å follow each position.
Atoms (fractional coordinates):
Cd1 0.7500 0.7500 0.7500  6 Cd 3.60, 6 Sr 3.66
Sr1 0.9880 0.9880 0.9880  3 Tc 3.07
Sr2 0.5120 0.5120 0.5120  3 Tc 3.07
Tc1 0.2500 0.2500 0.2500  6 Sr 3.07